## SmPaSb2 (PBE-GGA)

Data for a relaxed structure of SmPaSb2.

## Properties
Spin magnetization   0.7 Bohr magnetons per cell
Offset from the most stable computed form   148 meV per atom
DOS(E_F)   4.8 states/eV/f.u.
Crystal system   tetragonal
Calculated total energy   -6.266 eV/atom

Cell lengths 3.786, 3.786, 7.582 Å; angles 90.00, 90.00, 90.00 degrees
Fractional coordinates of all 4 atoms:
Sm 0.000 0.000 0.000
Pa 0.000 0.000 0.500
Sb 0.500 0.500 0.262
Sb 0.500 0.500 0.738